The following is a DFT calculation (PBE-GGA) of PmPdPt after structural relaxation.

a = 5.475 Å, b = 5.524 Å, c = 7.786 Å
α = 90.00°, β = 90.00°, γ = 90.00°
Space group Imma (No. 74)
Asymmetric unit:
Pm1 0.000 0.250 0.126 x4
Pd1 0.250 0.250 0.750 x4
Pt1 0.000 0.000 0.500 x4

Calculated values
density = 12.60 Mg/m³
formation enthalpy at 0 K = -0.931 eV per atom
M_tot = 0.000 μB per cell

The following is a DFT calculation (PBE-GGA) of Cs4U3CoS8 after structural relaxation.

a = 8.0190 Å, b = 8.0190 Å, c = 24.2467 Å
α = 90.00°, β = 90.00°, γ = 120.00°
Space group R-3m (No. 166, hexagonal axes)
Asymmetric unit:
Cs1 0.0000 0.0000 0.0000 x3
Cs2 0.0000 0.5000 0.0000 x9
U1 0.0000 0.5000 0.5000 x9
Co1 0.0000 0.0000 0.5000 x3
S1 0.0000 0.0000 0.2285 x6
S2 0.0052 0.5026 0.2254 x18

Calculated values
density = 5.76 Mg/m³
M_tot = 26.640 μB per cell
ΔE_f (raw) = -110.02 kJ/mol of atoms

The following is a DFT calculation (PBE-GGA) of Pa2Fe3CoB12 after structural relaxation.

a = 5.4593 Å, b = 5.4593 Å, c = 21.7011 Å
α = 90.00°, β = 90.00°, γ = 120.00°
Space group R-3m (No. 166, hexagonal axes)
Asymmetric unit:
Pa1 0.0000 0.0000 0.1375 x6
Fe1 0.0000 0.5000 0.0000 x9
Co1 0.0000 0.0000 0.5000 x3
B1 0.0765 0.5382 0.0959 x18
B2 0.1060 0.2119 0.7416 x18

Calculated values
density = 7.28 Mg/m³
formation enthalpy at 0 K = -0.042 eV per atom
M_tot = 19.329 μB per cell

The following is a DFT calculation (PBE-GGA) of Cs2OsCl5O after structural relaxation.

a = 7.496 Å, b = 7.496 Å, c = 10.226 Å
α = 90.00°, β = 90.00°, γ = 90.00°
Space group I4mm (No. 107)
Asymmetric unit:
Cs1 0.000 0.500 0.000 x4
Os1 0.000 0.000 0.237 x2
Cl1 0.000 0.000 0.474 x2
Cl2 0.225 0.225 0.250 x8
O1 0.000 0.000 0.066 x2

Calculated values
density = 3.75 Mg/m³
M_tot = 1.936 μB per cell
ΔE_f (raw) = -118.92 kJ/mol of atoms